(1)
Material: GaMo2N
Method: DFT, GGA-PBE
State: optimized geometry

abc: 5.932 5.932 5.932
angles: 90.00 90.00 90.00
Space group Fm-3m (No. 225)
Inequivalent atoms, fractional coordinates:
Ga 0.000 0.000 0.000 x4
Mo 0.250 0.250 0.250 x8
N 0.000 0.000 0.500 x4


(2)
Material: GaMo3N
Method: DFT, GGA-PBE
State: optimized geometry

abc: 4.117 4.117 4.117
angles: 90.00 90.00 90.00
Space group Pm-3m (No. 221)
Inequivalent atoms, fractional coordinates:
Ga 0.000 0.000 0.000 x1
Mo 0.000 0.500 0.500 x3
N 0.500 0.500 0.500 x1


Values of spin magnetization, in order: 0.0, 0.0, all in μB/f.u..
Values of polymorph energy (0 for the lowest one), in order: 0.979, 0.000, all in eV per atom.
Values of VASP energy, in order: -118.54, -44.63, all in eV per cell.